# ScSbAs2Se, relaxed, DFT PBE
data_ScSbAs2Se
_chemical_formula_sum 'Sc1 Sb1 As2 Se1'
_space_group_name_H-M_alt 'P 4/m m m'
_space_group_IT_number 123
_space_group_name_Hall '-P 4 2'
_cell_length_a 5.1792
_cell_length_b 5.1792
_cell_length_c 5.2581
_cell_angle_alpha 90.00
_cell_angle_beta 90.00
_cell_angle_gamma 90.00
loop_
_atom_site_label
_atom_site_type_symbol
_atom_site_fract_x
_atom_site_fract_y
_atom_site_fract_z
_atom_site_occupancy
Sc1 Sc 0.0000 0.0000 0.0000 1
Sb1 Sb 0.5000 0.5000 0.5000 1
As1 As 0.0000 0.5000 0.5000 1
Se1 Se 0.5000 0.5000 0.0000 1
# Crystal system = tetragonal
# Excess energy over the best structure of this formula in the dataset = 328 meV per atom
# Final energy = -21.03 eV per formula unit

# ScSbAs2Se, relaxed, DFT PBE
data_ScSbAs2Se
_chemical_formula_sum 'Sc1 Sb1 As2 Se1'
_space_group_name_H-M_alt 'P 4/m m m'
_space_group_IT_number 123
_space_group_name_Hall '-P 4 2'
_cell_length_a 5.1607
_cell_length_b 5.1607
_cell_length_c 5.0212
_cell_angle_alpha 90.00
_cell_angle_beta 90.00
_cell_angle_gamma 90.00
loop_
_atom_site_label
_atom_site_type_symbol
_atom_site_fract_x
_atom_site_fract_y
_atom_site_fract_z
_atom_site_occupancy
Sc1 Sc 0.0000 0.0000 0.0000 1
Sb1 Sb 0.5000 0.5000 0.5000 1
As1 As 0.0000 0.5000 0.0000 1
Se1 Se 0.0000 0.0000 0.5000 1
# Crystal system = tetragonal
# Excess energy over the best structure of this formula in the dataset = 0 meV per atom
# Final energy = -22.68 eV per formula unit

# Sc4SbAsSe2, relaxed, DFT PBE
data_Sc4SbAsSe2
_chemical_formula_sum 'Sc4 Sb1 As1 Se2'
_space_group_name_H-M_alt 'P 1 2/m 1'
_space_group_IT_number 10
_cell_length_a 6.8357
_cell_length_b 3.9427
_cell_length_c 6.8844
_cell_angle_alpha 90.00
_cell_angle_beta 109.42
_cell_angle_gamma 90.00
loop_
_space_group_symop_operation_xyz
'x,y,z'
'-x,-y,-z'
'-x,y,-z'
'x,-y,z'
loop_
_atom_site_label
_atom_site_type_symbol
_atom_site_fract_x
_atom_site_fract_y
_atom_site_fract_z
_atom_site_occupancy
Sc1 Sc 0.2440 0.0000 0.2348 1
Sc2 Sc 0.2553 0.5000 0.7668 1
Sb1 Sb 0.0000 0.0000 0.5000 1
As1 As 0.0000 0.5000 0.0000 1
Se1 Se 0.5000 0.0000 0.0000 1
Se2 Se 0.5000 0.5000 0.5000 1
# Crystal system = monoclinic
# Final energy = -52.15 eV per formula unit

# Sc6SbAs2Se3, relaxed, DFT PBE
data_Sc6SbAs2Se3
_chemical_formula_sum 'Sc12 Sb2 As4 Se6'
_space_group_name_H-M_alt 'C 1 2/m 1'
_space_group_IT_number 12
_cell_length_a 17.1618
_cell_length_b 3.9166
_cell_length_c 7.8846
_cell_angle_alpha 90.00
_cell_angle_beta 103.33
_cell_angle_gamma 90.00
loop_
_space_group_symop_operation_xyz
'x,y,z'
'-x,-y,-z'
'-x,y,-z'
'x,-y,z'
'x+1/2,y+1/2,z'
'-x+1/2,-y+1/2,-z'
'-x+1/2,y+1/2,-z'
'x+1/2,-y+1/2,z'
loop_
_atom_site_label
_atom_site_type_symbol
_atom_site_fract_x
_atom_site_fract_y
_atom_site_fract_z
_atom_site_occupancy
Sc1 Sc 0.0053 0.0000 0.2644 1
Sc2 Sc 0.1715 0.5000 0.5768 1
Sc3 Sc 0.1726 0.5000 0.1003 1
Sb1 Sb 0.0000 0.5000 0.0000 1
As1 As 0.1672 0.0000 0.3351 1
Se1 Se 0.0000 0.5000 0.5000 1
Se2 Se 0.1641 0.0000 0.8332 1
# Crystal system = monoclinic
# Final energy = -79.14 eV per formula unit

no.,formation energy without anion corrections (eV per atom)
1,0.4407
2,0.1122
3,-1.3859
4,-1.4394